This record from the Alexandria database describes crystalline Na2PmPuF8 at its relaxed geometry. The functional is PBE.

extended XYZ file:
```
12
Lattice="3.9487 0.0000 0.0000 0.0000 7.9290 0.0000 -0.0070 0.0000 5.6257" Properties=species:S:1:pos:R:3 pbc="T T T"
Na 0.0000 1.9623 0.0000
Na 0.0000 5.9668 0.0000
Pm 1.9709 0.0000 2.8128
Pu 1.9709 3.9645 2.8128
F -0.0031 0.0000 4.1292
F -0.0031 3.9645 4.1584
F 1.9701 1.9613 1.4848
F 1.9701 5.9677 1.4848
F 1.9716 1.9613 4.1408
F 1.9716 5.9677 4.1408
F 3.9449 0.0000 1.4964
F 3.9448 3.9645 1.4673
```

Values from the calculation:
formation energy from raw total energies = -3.521 eV per atom
crystal system = monoclinic

This record from the Alexandria database describes crystalline InTe2PI at its relaxed geometry. The functional is PBE.

extended XYZ file:
```
5
Lattice="5.7680 0.0000 0.0000 0.0000 5.7680 0.0000 0.0000 0.0000 5.8225" Properties=species:S:1:pos:R:3 pbc="T T T"
In 0.0000 0.0000 0.0000
Te 0.0000 2.8840 0.0000
Te 2.8840 0.0000 0.0000
P 2.8840 2.8840 2.9112
I 0.0000 0.0000 2.9112
```

Values from the calculation:
formation energy from raw total energies = 0.840 eV per atom
energy relative to the lowest polymorph listed for this composition = 0.6152 eV per atom
crystal system = tetragonal

This record from the Alexandria database describes crystalline LiBi4S7 at its relaxed geometry. The functional is PBE.

extended XYZ file:
```
12
Lattice="6.5690 -1.9763 0.0000 6.5690 1.9763 0.0000 -2.6616 0.0000 11.5033" Properties=species:S:1:pos:R:3 pbc="T T T"
Li 0.0000 0.0000 0.0000
Bi 0.4701 0.0000 4.8631
Bi 1.1072 0.0000 9.9715
Bi 4.0312 0.0000 6.8107
Bi 9.7150 0.0000 1.9866
S -0.7137 0.0000 7.4393
S 1.2426 0.0000 2.2381
S 4.9436 0.0000 0.7884
S 5.1663 0.0000 4.3392
S 5.9315 0.0000 11.0594
S 9.0488 0.0000 5.2783
S 9.4369 0.0000 9.1374
```

Values from the calculation:
formation energy from raw total energies = -0.398 eV per atom
crystal system = monoclinic

This record from the Alexandria database describes crystalline MnCoRu at its relaxed geometry. The functional is PBE.

extended XYZ file:
```
6
Lattice="-2.0392 2.5007 3.5398 2.0392 -2.5007 3.5398 2.0392 2.5007 -3.5398" Properties=species:S:1:pos:R:3 pbc="T T T"
Mn 0.0000 1.2321 0.0000
Mn 0.0000 3.7694 0.0000
Co 0.0000 0.0000 2.4218
Co 0.0000 0.0000 4.6577
Ru 2.0392 0.0000 1.2384
Ru 0.0000 2.5007 2.3013
```

Values from the calculation:
energy relative to the lowest polymorph listed for this composition = 0.1226 eV per atom
energy relative to the elements = 0.239 eV/atom
crystal system = orthorhombic

Number 1: E -78.944 eV for the cell shown. Number 2: E -11.782 eV for the cell shown. Number 3: E -51.110 eV for the cell shown. Number 4: E -49.667 eV for the cell shown.